Entry 1:
# LaEr6Sc4, relaxed, DFT PBE-GGA
# - Crystal system: tetragonal
data_LaEr6Sc4
_chemical_formula_sum 'La1 Er6 Sc4'
_space_group_name_H-M_alt 'P 1'
_space_group_IT_number 1
_cell_length_a 7.2852
_cell_length_b 7.2852
_cell_length_c 8.2440
_cell_angle_alpha 116.22
_cell_angle_beta 116.22
_cell_angle_gamma 90.00
loop_
_space_group_symop_operation_xyz
'x,y,z'
loop_
_atom_site_label
_atom_site_fract_x
_atom_site_fract_y
_atom_site_fract_z
_atom_site_occupancy
Er1 0.5000 0.0000 0.0000 1
Er2 0.0000 0.5000 0.0000 1
Er3 0.4465 0.9414 0.3879 1
Er4 0.0586 0.0586 0.6121 1
Er5 0.5535 0.5535 0.6121 1
Er6 0.9414 0.4465 0.3879 1
La1 0.5000 0.5000 0.0000 1
Sc1 0.7699 0.0738 0.8437 1
Sc2 0.2301 0.2301 0.1563 1
Sc3 0.0738 0.7699 0.8437 1
Sc4 0.9262 0.9262 0.1563 1

---

Entry 2:
# LaEr2Sc, relaxed, DFT PBE-GGA
# - Crystal system: cubic
data_LaEr2Sc
_chemical_formula_sum 'La1 Er2 Sc1'
_space_group_name_H-M_alt 'P 1'
_space_group_IT_number 1
_cell_length_a 5.5942
_cell_length_b 5.5942
_cell_length_c 5.5942
_cell_angle_alpha 60.00
_cell_angle_beta 60.00
_cell_angle_gamma 60.00
loop_
_space_group_symop_operation_xyz
'x,y,z'
loop_
_atom_site_label
_atom_site_fract_x
_atom_site_fract_y
_atom_site_fract_z
_atom_site_occupancy
Sc1 0.5000 0.5000 0.5000 1
Er1 0.2500 0.2500 0.2500 1
Er2 0.7500 0.7500 0.7500 1
La1 0.0000 0.0000 0.0000 1

---

Entry 3:
# LaEr2Sc, relaxed, DFT PBE-GGA
# - Crystal system: monoclinic
data_LaEr2Sc
_chemical_formula_sum 'La2 Er4 Sc2'
_space_group_name_H-M_alt 'P 1'
_space_group_IT_number 1
_cell_length_a 3.5323
_cell_length_b 6.1114
_cell_length_c 11.4606
_cell_angle_alpha 84.86
_cell_angle_beta 98.86
_cell_angle_gamma 89.99
loop_
_space_group_symop_operation_xyz
'x,y,z'
loop_
_atom_site_label
_atom_site_fract_x
_atom_site_fract_y
_atom_site_fract_z
_atom_site_occupancy
Er1 0.6747 0.2291 0.8356 1
Er2 0.9090 0.1507 0.3054 1
Er3 0.1747 0.7291 0.8356 1
Er4 0.4090 0.6507 0.3054 1
Sc1 0.7917 0.8562 0.0692 1
Sc2 0.2917 0.3562 0.0692 1
La1 0.5445 0.9389 0.5733 1
La2 0.0444 0.4389 0.5733 1

---

The calculation returns the following E_tot values, one per record and in order: -4.871 -4.947 -5.062 eV per atom.